1.
## LiOsSe (PBE)

Data for crystalline LiOsSe at its relaxed geometry.

As for the energy above the most stable polymorph in this dataset: 0.326 eV per atom. For the size of the total moment, the calculation gives 0.0 μB/f.u. The uncorrected energy is -5.096 eV per atom. Its density of states at the Fermi level is 11.831 states/eV/cell. For the uncorrected formation energy, the calculation gives 446 meV per atom.

```
data_LiOsSe
_chemical_formula_sum 'Li4 Os4 Se4'
_cell_length_a 2.971
_cell_length_b 5.021
_cell_length_c 12.880
_cell_angle_alpha 90.00
_cell_angle_beta 90.00
_cell_angle_gamma 90.00
_space_group_name_H-M_alt 'F m m 2'
_space_group_IT_number 42
_space_group_name_Hall 'F 2 -2'
loop_
_atom_site_label
_atom_site_fract_x
_atom_site_fract_y
_atom_site_fract_z
Li1 0.000 0.000 0.000
Os1 0.000 0.000 0.330
Se1 0.000 0.000 0.677
```


2.
## Li2OsSe (PBE)

Data for crystalline Li2OsSe at its relaxed geometry.

For the size of the total moment, the calculation gives 0.0 μB/f.u. The uncorrected energy is -4.620 eV per atom. Its density of states at the Fermi level is 2.342 states/eV/cell. For the uncorrected formation energy, the calculation gives 15 meV per atom.

```
data_Li2OsSe
_chemical_formula_sum 'Li4 Os2 Se2'
_cell_length_a 5.134
_cell_length_b 8.556
_cell_length_c 2.650
_cell_angle_alpha 90.00
_cell_angle_beta 90.00
_cell_angle_gamma 90.00
_space_group_name_H-M_alt 'C m m m'
_space_group_IT_number 65
_space_group_name_Hall '-C 2 2'
loop_
_atom_site_label
_atom_site_fract_x
_atom_site_fract_y
_atom_site_fract_z
Li1 0.250 0.250 0.000
Os1 0.000 0.000 0.500
Se1 0.000 0.500 0.500
```